Entry from Alexandria via LeMat-Bulk: crystalline Sc2SnRu4 at its relaxed geometry (GGA-PBE).

Lattice parameters (Å, degrees): 6.156 6.156 6.528 90.00 90.00 90.00
Space group I4/mmm (No. 139)
Symmetry-distinct sites (fractional):
Sc 0.000 0.500 0.000
Sn 0.000 0.000 0.000
Ru 0.250 0.250 0.250



Entry from Alexandria via LeMat-Bulk: crystalline Sc11Sn9Ru4 at its relaxed geometry (GGA-PBE).

Lattice parameters (Å, degrees): 14.037 21.116 3.370 90.00 90.00 90.00
Space group Cmmm (No. 65)
Symmetry-distinct sites (fractional):
Sc 0.000 0.000 0.000
Sc 0.000 0.158 0.000
Sc 0.000 0.375 0.000
Sc 0.188 0.500 0.000
Sc 0.243 0.173 0.000
Sn 0.000 0.500 0.500
Sn 0.108 0.264 0.500
Sn 0.146 0.074 0.500
Ru 0.157 0.397 0.500



Entry from Alexandria via LeMat-Bulk: crystalline ScSn2Ru2 at its relaxed geometry (GGA-PBE).

Lattice parameters (Å, degrees): 4.460 4.530 9.649 90.00 90.00 90.00
Space group Pmmn (No. 59, origin choice 2)
Symmetry-distinct sites (fractional):
Sc 0.250 0.250 0.171
Sn 0.250 0.250 0.498
Sn 0.250 0.250 0.835
Ru 0.250 0.750 0.003
Ru 0.250 0.750 0.340



no.,energy of formation (eV per atom),spin magnetization (μB/atom)
1,0.056,0.222
2,-0.603,0.022
3,-0.372,0.000